# 1
VASP calculation (GGA-PBE) on a geometry-optimized PrAlPdN structure.

formation energy from raw total energies	-1.039	eV per atom
crystal system	tetragonal

Cell lengths 3.936, 3.936, 8.993 Å; angles 90.00, 90.00, 90.00 degrees
Atoms (fractional coordinates):
Pr1 0.000 0.500 0.860
Pr2 0.500 0.000 0.140
Al1 0.000 0.500 0.332
Al2 0.500 0.000 0.668
Pd1 0.000 0.000 0.500
Pd2 0.500 0.500 0.500
N1 0.500 0.000 0.876
N2 0.000 0.500 0.124

***

# 2
VASP calculation (GGA-PBE) on a geometry-optimized HfH3Pt structure.

crystal system	cubic
DFT total energy	-26.5	eV per formula unit

Cell lengths 3.583, 3.583, 3.583 Å; angles 90.00, 90.00, 90.00 degrees
Atoms (fractional coordinates):
H1 0.000 0.500 0.000
H2 0.000 0.000 0.500
H3 0.500 0.000 0.000
Hf1 0.500 0.500 0.500
Pt1 0.000 0.000 0.000

***

# 3
VASP calculation (GGA-PBE) on a geometry-optimized TmAuN structure.

formation energy from raw total energies	-1.081	eV per atom
crystal system	tetragonal

Cell lengths 3.367, 3.367, 16.664 Å; angles 90.00, 90.00, 90.00 degrees
Atoms (fractional coordinates):
Au1 0.750 0.250 0.048
Au2 0.750 0.250 0.548
Au3 0.250 0.750 0.452
Au4 0.250 0.750 0.952
N1 0.750 0.249 0.687
N2 0.750 0.251 0.187
N3 0.250 0.749 0.813
N4 0.250 0.751 0.313
Tm1 0.750 0.250 0.323
Tm2 0.750 0.250 0.823
Tm3 0.250 0.750 0.177
Tm4 0.250 0.750 0.677

***

# 4
VASP calculation (GGA-PBE) on a geometry-optimized CeReOs structure.

offset from the most stable computed form	688	meV per atom
formation energy from the elements	0.5104	eV per atom
crystal system	tetragonal

Cell lengths 7.374, 7.374, 5.660 Å; angles 90.00, 90.00, 90.00 degrees
Site moments in Bohr magnetons follow the coordinates.
Atoms (fractional coordinates):
Re1 0.378 0.378 0.000  -0.05
Re2 0.622 0.622 0.500  -0.05
Re3 0.122 0.878 0.250  -0.05
Re4 0.878 0.122 0.750  -0.05
Os1 0.642 0.358 0.750  -0.03
Os2 0.858 0.858 0.500  -0.03
Os3 0.142 0.142 0.000  -0.03
Os4 0.358 0.642 0.250  -0.03
Ce1 0.772 0.228 0.250  0.34
Ce2 0.728 0.728 0.000  0.34
Ce3 0.272 0.272 0.500  0.34
Ce4 0.228 0.772 0.750  0.34

***

# 5
VASP calculation (GGA-PBE) on a geometry-optimized Mo3W structure.

offset from the most stable computed form	388	meV per atom
formation energy from the elements	0.3682	eV per atom
crystal system	orthorhombic

Cell lengths 4.718, 5.176, 5.325 Å; angles 90.00, 90.00, 90.00 degrees
Atoms (fractional coordinates):
Mo1 0.500 0.000 0.648
Mo2 0.000 0.500 0.352
Mo3 0.000 0.252 0.850
Mo4 0.000 0.748 0.850
Mo5 0.500 0.752 0.150
Mo6 0.500 0.248 0.150
W1 0.000 0.000 0.351
W2 0.500 0.500 0.649

***

# 6
VASP calculation (GGA-PBE) on a geometry-optimized Pm2CuGeO6 structure.

formation energy from raw total energies	-2.202	eV per atom
crystal system	tetragonal

Cell lengths 4.651, 5.265, 5.265 Å; angles 90.00, 90.00, 90.00 degrees
Site moments in Bohr magnetons follow the coordinates.
Atoms (fractional coordinates):
Pm1 0.027 0.500 0.000  0.00
Pm2 0.027 0.000 0.500  0.00
Cu1 0.595 0.500 0.500  0.61
Ge1 0.592 0.000 0.000  0.01
O1 0.711 0.239 0.239  0.06
O2 0.711 0.239 0.761  0.06
O3 0.157 0.500 0.500  0.10
O4 0.206 0.000 0.000  0.00
O5 0.711 0.761 0.761  0.06
O6 0.711 0.761 0.239  0.06

***

# 7
VASP calculation (GGA-PBE) on a geometry-optimized Ba4InRh structure.

offset from the most stable computed form	891	meV per atom
formation energy from the elements	0.6563	eV per atom
crystal system	cubic

Cell lengths 6.966, 6.966, 6.966 Å; angles 60.00, 60.00, 60.00 degrees
Atoms (fractional coordinates):
Ba1 0.877 0.374 0.374
Ba2 0.374 0.374 0.877
Ba3 0.374 0.877 0.374
Ba4 0.374 0.374 0.374
In1 0.750 0.750 0.750
Rh1 0.000 0.000 0.000

***

# 8
VASP calculation (GGA-PBE) on a geometry-optimized CoCuPt3 structure.

offset from the most stable computed form	4	meV per atom
formation energy from the elements	0.0049	eV per atom
crystal system	monoclinic

Cell lengths 4.466, 4.657, 7.289 Å; angles 90.01, 107.84, 90.00 degrees
Site moments in Bohr magnetons follow the coordinates.
Atoms (fractional coordinates):
Co1 0.367 0.398 0.017  2.01
Co2 0.658 0.899 0.598  2.01
Cu1 0.864 0.794 0.010  0.06
Cu2 0.161 0.293 0.605  0.06
Pt1 0.567 0.408 0.416  0.28
Pt2 0.763 0.339 0.809  0.29
Pt3 0.068 0.783 0.417  0.29
Pt4 0.958 0.283 0.198  0.29
Pt5 0.459 0.908 0.199  0.28
Pt6 0.262 0.838 0.806  0.29

***

# 9
VASP calculation (GGA-PBE) on a geometry-optimized Rb2Na2Br2O structure.

formation energy from raw total energies	-1.450	eV per atom
crystal system	tetragonal

Cell lengths 4.801, 4.801, 9.441 Å; angles 104.73, 104.73, 90.00 degrees
Atoms (fractional coordinates):
Rb1 0.155 0.155 0.311
Rb2 0.845 0.845 0.689
Na1 0.000 0.500 0.000
Na2 0.500 0.000 0.000
Br1 0.366 0.366 0.732
Br2 0.634 0.634 0.268
O1 0.000 0.000 0.000

***

# 10
VASP calculation (GGA-PBE) on a geometry-optimized YCoBr structure.

formation energy from raw total energies	-0.191	eV per atom
crystal system	tetragonal

Cell lengths 5.965, 5.965, 5.965 Å; angles 146.38, 146.38, 48.28 degrees
Site moments in Bohr magnetons follow the coordinates.
Atoms (fractional coordinates):
Br1 0.993 0.993 0.000  0.02
Co1 0.320 0.320 0.000  1.32
Y1 0.686 0.686 0.000  -0.21

***

# 11
VASP calculation (GGA-PBE) on a geometry-optimized LiPm2ZnO5 structure.

formation energy from raw total energies	-2.425	eV per atom
crystal system	orthorhombic

Cell lengths 3.408, 7.098, 9.215 Å; angles 90.00, 90.00, 103.89 degrees
Site moments in Bohr magnetons follow the coordinates.
Atoms (fractional coordinates):
Li1 0.778 0.556 0.499  0.00
Li2 0.222 0.444 0.999  0.00
Pm1 0.880 0.760 0.807  -0.01
Pm2 0.128 0.255 0.685  -0.01
Pm3 0.120 0.240 0.307  -0.01
Pm4 0.872 0.745 0.185  -0.01
Zn1 0.580 0.159 0.987  0.10
Zn2 0.420 0.841 0.487  0.10
O1 0.356 0.713 0.001  0.05
O2 0.699 0.397 0.846  0.14
O3 0.512 0.023 0.790  0.23
O4 0.312 0.623 0.650  0.19
O5 0.969 0.938 0.559  0.19
O6 0.644 0.287 0.501  0.05
O7 0.301 0.603 0.346  0.14
O8 0.488 0.977 0.290  0.23
O9 0.688 0.377 0.150  0.19
O10 0.031 0.062 0.059  0.19

***

# 12
VASP calculation (GGA-PBE) on a geometry-optimized Pm2AgBr structure.

offset from the most stable computed form	42	meV per atom
formation energy from raw total energies	-0.584	eV per atom
crystal system	trigonal

Cell lengths 4.109, 4.109, 8.314 Å; angles 75.69, 75.69, 60.00 degrees
Atoms (fractional coordinates):
Pm1 0.076 0.076 0.771
Pm2 0.257 0.257 0.228
Ag1 0.667 0.667 0.998
Br1 0.499 0.499 0.503

***

# 13
VASP calculation (GGA-PBE) on a geometry-optimized ErHfHg2 structure.

offset from the most stable computed form	27	meV per atom
formation energy from the elements	-0.1728	eV per atom
crystal system	cubic

Cell lengths 5.073, 5.073, 5.073 Å; angles 60.00, 60.00, 60.00 degrees
Site moments in Bohr magnetons follow the coordinates.
Atoms (fractional coordinates):
Hf1 0.500 0.500 0.500  0.40
Hg1 0.250 0.250 0.250  0.02
Hg2 0.750 0.750 0.750  0.02
Er1 0.000 0.000 0.000  0.26

***

# 14
VASP calculation (GGA-PBE) on a geometry-optimized Pr2InGa3Ir4 structure.

formation energy from the elements	-0.6200	eV per atom
crystal system	tetragonal

Cell lengths 4.317, 4.317, 10.631 Å; angles 90.00, 90.00, 90.00 degrees
Atoms (fractional coordinates):
Pr1 0.500 0.000 0.232
Pr2 0.000 0.500 0.768
In1 0.500 0.500 0.500
Ga1 0.000 0.000 0.500
Ga2 0.500 0.000 0.879
Ga3 0.000 0.500 0.121
Ir1 0.500 0.500 0.000
Ir2 0.000 0.000 0.000
Ir3 0.500 0.000 0.645
Ir4 0.000 0.500 0.355

***

# 15
VASP calculation (GGA-PBE) on a geometry-optimized Dy4ZnCu2Rh structure.

formation energy from the elements	-0.4490	eV per atom
crystal system	trigonal

Cell lengths 4.929, 4.929, 8.533 Å; angles 73.21, 73.21, 60.00 degrees
Atoms (fractional coordinates):
Dy1 0.379 0.379 0.863
Dy2 0.872 0.872 0.385
Dy3 0.128 0.128 0.615
Dy4 0.621 0.621 0.137
Zn1 0.000 0.000 0.000
Cu1 0.744 0.744 0.767
Cu2 0.256 0.256 0.233
Rh1 0.500 0.500 0.500

***

# 16
VASP calculation (GGA-PBE) on a geometry-optimized Tl6Hg3Bi structure.

formation energy from the elements	0.0089	eV per atom
crystal system	orthorhombic

Cell lengths 7.682, 9.069, 9.069 Å; angles 91.54, 90.00, 90.00 degrees
Atoms (fractional coordinates):
Tl1 0.822 0.293 0.598
Tl2 0.322 0.402 0.707
Tl3 0.782 0.485 0.937
Tl4 0.282 0.063 0.515
Tl5 0.829 0.878 0.878
Tl6 0.286 0.835 0.835
Tl7 0.786 0.165 0.165
Tl8 0.329 0.122 0.122
Tl9 0.782 0.937 0.485
Tl10 0.282 0.515 0.063
Tl11 0.822 0.598 0.293
Tl12 0.322 0.707 0.402
Hg1 0.551 0.131 0.818
Hg2 0.051 0.182 0.869
Hg3 0.587 0.656 0.656
Hg4 0.087 0.344 0.344
Hg5 0.051 0.869 0.182
Hg6 0.551 0.818 0.131
Bi1 0.002 0.635 0.635
Bi2 0.502 0.365 0.365

***

# 17
VASP calculation (GGA-PBE) on a geometry-optimized NaNbAgCl6 structure.

formation energy from raw total energies	-1.159	eV per atom
crystal system	trigonal

Cell lengths 6.795, 6.795, 12.059 Å; angles 90.00, 90.00, 120.00 degrees
Site moments in Bohr magnetons follow the coordinates.
Atoms (fractional coordinates):
Na1 0.000 0.000 0.000  0.00
Na2 0.000 0.000 0.500  0.00
Nb1 0.667 0.333 0.250  0.87
Nb2 0.333 0.667 0.750  0.87
Ag1 0.333 0.667 0.250  0.01
Ag2 0.667 0.333 0.750  0.01
Cl1 0.663 0.625 0.133  -0.01
Cl2 0.962 0.337 0.133  -0.01
Cl3 0.337 0.962 0.633  -0.01
Cl4 0.038 0.663 0.867  -0.01
Cl5 0.375 0.337 0.367  -0.01
Cl6 0.962 0.625 0.367  -0.01
Cl7 0.625 0.962 0.867  -0.01
Cl8 0.663 0.038 0.367  -0.01
Cl9 0.038 0.375 0.633  -0.01
Cl10 0.375 0.038 0.133  -0.01
Cl11 0.625 0.663 0.633  -0.01
Cl12 0.337 0.375 0.867  -0.01

***

# 18
VASP calculation (GGA-PBE) on a geometry-optimized Al2GeBr structure.

offset from the most stable computed form	134	meV per atom
formation energy from raw total energies	0.260	eV per atom
crystal system	cubic

Cell lengths 4.861, 4.861, 4.861 Å; angles 60.00, 60.00, 60.00 degrees
Atoms (fractional coordinates):
Ge1 0.000 0.000 0.000
Al1 0.250 0.250 0.250
Al2 0.750 0.750 0.750
Br1 0.500 0.500 0.500

***

# 19
VASP calculation (GGA-PBE) on a geometry-optimized P3ICl12 structure.

formation energy from raw total energies	-0.467	eV per atom
crystal system	trigonal

Cell lengths 12.273, 12.273, 14.780 Å; angles 65.47, 65.47, 60.00 degrees
Site moments in Bohr magnetons follow the coordinates.
Atoms (fractional coordinates):
P1 0.649 0.361 0.012  0.12
P2 0.149 0.478 0.512  0.12
P3 0.861 0.149 0.512  0.12
P4 0.361 0.978 0.012  0.12
P5 0.978 0.649 0.012  0.12
P6 0.478 0.861 0.512  0.12
I1 0.069 0.069 0.792  0.24
I2 0.569 0.569 0.292  0.24
Cl1 0.178 0.130 0.990  0.11
Cl2 0.121 0.308 0.641  0.16
Cl3 0.974 0.977 0.472  0.03
Cl4 0.778 0.431 0.892  0.03
Cl5 0.278 0.399 0.392  0.03
Cl6 0.474 0.078 0.972  0.03
Cl7 0.621 0.431 0.141  0.16
Cl8 0.977 0.578 0.472  0.03
Cl9 0.678 0.203 0.490  0.11
Cl10 0.931 0.121 0.641  0.16
Cl11 0.931 0.278 0.392  0.03
Cl12 0.203 0.630 0.490  0.11
Cl13 0.078 0.477 0.972  0.03
Cl14 0.703 0.178 0.990  0.11
Cl15 0.431 0.899 0.892  0.03
Cl16 0.431 0.808 0.141  0.16
Cl17 0.808 0.621 0.141  0.16
Cl18 0.477 0.474 0.972  0.03
Cl19 0.630 0.678 0.490  0.11
Cl20 0.899 0.778 0.892  0.03
Cl21 0.399 0.931 0.392  0.03
Cl22 0.130 0.703 0.990  0.11
Cl23 0.308 0.931 0.641  0.16
Cl24 0.578 0.974 0.472  0.03

***

# 20
VASP calculation (GGA-PBE) on a geometry-optimized Sr2PRh2 structure.

offset from the most stable computed form	0	meV per atom
formation energy from the elements	-0.6802	eV per atom
crystal system	monoclinic

Cell lengths 5.871, 5.871, 7.495 Å; angles 80.42, 80.42, 62.31 degrees
Atoms (fractional coordinates):
Sr1 0.473 0.224 0.146
Sr2 0.776 0.527 0.354
Sr3 0.527 0.776 0.854
Sr4 0.224 0.473 0.646
P1 0.076 0.924 0.250
P2 0.924 0.076 0.750
Rh1 0.755 0.013 0.508
Rh2 0.987 0.245 0.992
Rh3 0.245 0.987 0.492
Rh4 0.013 0.755 0.008

***

# 21
VASP calculation (GGA-PBE) on a geometry-optimized Nd5Dy4Y2 structure.

offset from the most stable computed form	0	meV per atom
formation energy from the elements	0.0691	eV per atom
crystal system	monoclinic

Cell lengths 3.571, 11.673, 9.058 Å; angles 93.99, 101.37, 90.00 degrees
Atoms (fractional coordinates):
Nd1 0.904 0.464 0.808
Nd2 0.096 0.536 0.192
Nd3 0.823 0.930 0.647
Nd4 0.500 0.000 0.000
Nd5 0.177 0.070 0.353
Dy1 0.360 0.205 0.719
Dy2 0.964 0.740 0.928
Dy3 0.640 0.795 0.281
Dy4 0.036 0.260 0.072
Y1 0.716 0.353 0.431
Y2 0.284 0.647 0.569

***

# 22
VASP calculation (GGA-PBE) on a geometry-optimized URe2Ge structure.

offset from the most stable computed form	0	meV per atom
formation energy from the elements	0.0490	eV per atom
crystal system	tetragonal

Cell lengths 3.696, 4.281, 4.281 Å; angles 90.00, 90.00, 90.00 degrees
Atoms (fractional coordinates):
Re1 0.000 0.000 0.500
Re2 0.000 0.500 0.000
Ge1 0.500 0.000 0.000
U1 0.500 0.500 0.500